The following is a DFT calculation (PBE) of crystalline SmHgPO at its relaxed geometry.

Summary:
- energy (eV/atom) = -5.34
- ΔE to the lowest computed polymorph (meV per atom) = 44.1

Lattice parameters (Å, degrees): 4.127 4.127 8.958 90.00 90.00 90.00
Space group P4/nmm (No. 129, origin choice 2)
Unique sites:
Sm 0.250 0.250 0.122 (multiplicity 2)
Hg 0.250 0.750 0.500 (multiplicity 2)
P 0.250 0.250 0.702 (multiplicity 2)
O 0.250 0.750 0.000 (multiplicity 2)



The following is a DFT calculation (PBE) of crystalline Er6GePd2 at its relaxed geometry.

Summary:
- energy (eV/atom) = -5.28

Lattice parameters (Å, degrees): 7.7843 7.7843 4.2603 90.00 90.00 120.00
Space group P-62m (No. 189)
Unique sites:
Er 0.0000 0.3993 0.0000 (multiplicity 3)
Er 0.0000 0.7354 0.5000 (multiplicity 3)
Ge 0.0000 0.0000 0.0000 (multiplicity 1)
Pd 0.3333 0.6667 0.5000 (multiplicity 2)



The following is a DFT calculation (PBE) of crystalline Ni2SnPd2 at its relaxed geometry.

Summary:
- energy (eV/atom) = -5.08

Lattice parameters (Å, degrees): 7.045 7.045 3.089 90.00 90.00 90.00
Space group P4/mbm (No. 127)
Unique sites:
Ni 0.157 0.343 0.000 (multiplicity 4)
Sn 0.000 0.000 0.500 (multiplicity 2)
Pd 0.138 0.638 0.500 (multiplicity 4)



The following is a DFT calculation (PBE) of crystalline KNbAgSe3 at its relaxed geometry.

Summary:
- energy (eV/atom) = -4.72

Lattice parameters (Å, degrees): 3.813 15.152 10.323 90.00 90.00 90.00
Space group Cmcm (No. 63)
Unique sites:
K 0.000 0.245 0.250 (multiplicity 4)
Nb 0.000 0.000 0.000 (multiplicity 4)
Ag 0.000 0.454 0.750 (multiplicity 4)
Se 0.000 0.072 0.750 (multiplicity 4)
Se 0.000 0.377 0.531 (multiplicity 8)



The following is a DFT calculation (PBE) of crystalline PrHo2Tl2Cd4 at its relaxed geometry.

Summary:
- energy (eV/atom) = -2.81

Lattice parameters (Å, degrees): 4.616 13.297 7.535 90.00 90.00 90.00
Space group Amm2 (No. 38)
Unique sites:
Pr 0.000 0.000 0.000 (multiplicity 2)
Ho 0.000 0.213 0.637 (multiplicity 4)
Tl 0.500 0.170 0.924 (multiplicity 4)
Cd 0.000 0.000 0.435 (multiplicity 2)
Cd 0.500 0.000 0.667 (multiplicity 2)
Cd 0.500 0.119 0.307 (multiplicity 4)



The following is a DFT calculation (PBE) of crystalline KPrO3 at its relaxed geometry.

Summary:
- energy (eV/atom) = -5.84

Lattice parameters (Å, degrees): 6.5703 6.5703 15.3185 90.00 90.00 120.00
Space group R-3 (No. 148, hexagonal axes)
Unique sites:
K 0.0000 0.0000 0.1212 (multiplicity 6)
Pr 0.0000 0.0000 0.3550 (multiplicity 6)
O 0.0318 0.6109 0.9249 (multiplicity 18)



The following is a DFT calculation (PBE) of crystalline InFePdW at its relaxed geometry.

Summary:
- energy (eV/atom) = -6.81
- ΔE to the lowest computed polymorph (meV per atom) = 228.0

Lattice parameters (Å, degrees): 6.357 6.357 6.357 90.00 90.00 90.00
Space group F-43m (No. 216)
Unique sites:
In 0.000 0.000 0.000 (multiplicity 4)
Fe 0.250 0.250 0.250 (multiplicity 4)
Pd 0.000 0.000 0.500 (multiplicity 4)
W 0.250 0.250 0.750 (multiplicity 4)



The following is a DFT calculation (PBE) of crystalline CuSiTcW at its relaxed geometry.

Summary:
- energy (eV/atom) = -8.04
- ΔE to the lowest computed polymorph (meV per atom) = 0.0

Lattice parameters (Å, degrees): 6.049 6.049 6.049 90.00 90.00 90.00
Space group F-43m (No. 216)
Unique sites:
Cu 0.000 0.000 0.000 (multiplicity 4)
Si 0.250 0.250 0.250 (multiplicity 4)
Tc 0.000 0.000 0.500 (multiplicity 4)
W 0.250 0.250 0.750 (multiplicity 4)



The following is a DFT calculation (PBE) of crystalline PrAuSeO at its relaxed geometry.

Summary:
- energy (eV/atom) = -5.53

Lattice parameters (Å, degrees): 4.279 5.815 6.847 90.00 90.00 90.00
Space group Pmc2_1 (No. 26)
Unique sites:
Pr 0.000 0.249 0.000 (multiplicity 2)
Au 0.500 0.333 0.618 (multiplicity 2)
Se 0.500 0.092 0.304 (multiplicity 2)
O 0.000 0.456 0.717 (multiplicity 2)



The following is a DFT calculation (PBE) of crystalline KRbFe at its relaxed geometry.

Summary:
- energy (eV/atom) = -2.40
- ΔE to the lowest computed polymorph (meV per atom) = 0.0

Lattice parameters (Å, degrees): 8.477 8.477 8.477 90.00 90.00 90.00
Space group F-43m (No. 216)
Unique sites:
K 0.000 0.000 0.000 (multiplicity 4)
Rb 0.000 0.000 0.500 (multiplicity 4)
Fe 0.250 0.250 0.250 (multiplicity 4)



The following is a DFT calculation (PBE) of crystalline LiPm at its relaxed geometry.

Summary:
- energy (eV/atom) = -3.03
- ΔE to the lowest computed polymorph (meV per atom) = 143.6

Lattice parameters (Å, degrees): 5.0037 5.0037 4.5122 90.00 90.00 120.00
Space group P6_3/mmc (No. 194)
Unique sites:
Li 0.0000 0.0000 0.0000 (multiplicity 2)
Pm 0.3333 0.6667 0.2500 (multiplicity 2)



The following is a DFT calculation (PBE) of crystalline SmGdB2Ir2O2 at its relaxed geometry.

Summary:
- energy (eV/atom) = -7.93

Lattice parameters (Å, degrees): 3.831 3.831 7.351 90.00 90.00 90.00
Space group P4mm (No. 99)
Unique sites:
Sm 0.000 0.000 0.000 (multiplicity 1)
Gd 0.500 0.500 0.631 (multiplicity 1)
B 0.000 0.000 0.468 (multiplicity 1)
B 0.500 0.500 0.166 (multiplicity 1)
Ir 0.000 0.500 0.318 (multiplicity 2)
O 0.000 0.000 0.675 (multiplicity 1)
O 0.500 0.500 0.957 (multiplicity 1)



Copy entry 11 word for word.
The following is a DFT calculation (PBE) of crystalline LiPm at its relaxed geometry.

Summary:
- energy (eV/atom) = -3.03
- ΔE to the lowest computed polymorph (meV per atom) = 143.6

Lattice parameters (Å, degrees): 5.0037 5.0037 4.5122 90.00 90.00 120.00
Space group P6_3/mmc (No. 194)
Unique sites:
Li 0.0000 0.0000 0.0000 (multiplicity 2)
Pm 0.3333 0.6667 0.2500 (multiplicity 2)